(1)
Material: Dy2Er3Cu4
Method: DFT, PBE
State: optimized geometry Values from VASP.

Computed properties:
For the calculated volume, the calculation gives 22.343 Å³/atom. The crystal system is monoclinic. The formation enthalpy at 0 K comes out at -18.91 kJ per mole of atoms.

Geometry as Quantum ESPRESSO input:
```
&SYSTEM
  ibrav = 0, nat = 18, ntyp = 3
/
ATOMIC_SPECIES
Dy 162.50 Dy.upf
Er 167.26 Er.upf
Cu 63.55 Cu.upf
ATOMIC_POSITIONS angstrom
Dy 0.747 -1.191 4.147
Dy 0.408 -6.559 7.241
Dy -0.270 -7.254 3.734
Dy 0.069 -1.885 0.639
Er 0.341 -5.495 0.683
Er -2.565 -2.147 3.042
Er 3.322 -3.178 6.130
Er -2.100 -4.621 5.279
Er -2.845 -5.266 1.750
Er 2.577 -3.824 2.601
Cu 2.486 -0.487 6.450
Cu -4.567 -4.867 3.901
Cu -2.009 -7.958 1.431
Cu 5.044 -3.577 3.980
Cu -1.890 -1.633 5.739
Cu 0.865 -4.504 4.950
Cu 2.367 -6.812 2.142
Cu -0.388 -3.941 2.930
CELL_PARAMETERS angstrom
-0.205 2.545 6.515
-4.925 -6.839 -0.431
5.606 -4.150 1.797
```



(2)
Material: Ac2Cu3Ge2
Method: DFT, PBE
State: optimized geometry Values from VASP.

Computed properties:
For the calculated volume, the calculation gives 22.541 Å³/atom. The crystal system is monoclinic. The formation enthalpy at 0 K comes out at -38.56 kJ per mole of atoms.

Geometry as Quantum ESPRESSO input:
```
&SYSTEM
  ibrav = 0, nat = 7, ntyp = 3
/
ATOMIC_SPECIES
Ac 227.00 Ac.upf
Cu 63.55 Cu.upf
Ge 72.64 Ge.upf
ATOMIC_POSITIONS angstrom
Ac 2.078 3.163 2.058
Ac 0.000 0.282 4.879
Cu 2.078 0.000 0.000
Cu 2.078 -0.171 2.474
Cu 0.000 3.616 4.462
Ge 2.078 2.626 5.700
Ge 0.000 0.818 1.236
CELL_PARAMETERS angstrom
4.156 0.000 0.000
-2.078 5.650 0.357
0.000 -2.206 6.580
```